# 1
Tb4HoCd3 after structural relaxation, computed with PBE.

```
Tb4HoCd3
1.0
3.761 0.000 0.000
0.000 5.384 0.000
0.000 0.000 10.935
Tb Ho Cd
4 1 3
Direct
0.000 0.000 0.000
0.000 0.000 0.500
0.000 0.500 0.238
0.000 0.500 0.762
0.500 0.500 0.500
0.500 0.000 0.253
0.500 0.000 0.747
0.500 0.500 0.000
```

Output
The value obtained for the volume is 27.7 A^3/atom. As for the uncorrected energy: -3.41 eV/atom. The size of the total moment is 0.000 μB per atom. For the density of states at the Fermi level, the calculation gives 11.26 states/eV per cell.



# 2
K2ZrRe after structural relaxation, computed with PBE.

```
K2ZrRe
1.0
5.619 0.000 0.000
0.000 12.598 0.000
0.000 0.000 2.856
K Zr Re
4 2 2
Direct
0.250 0.250 0.000
0.250 0.750 0.000
0.750 0.250 0.000
0.750 0.750 0.000
0.000 0.000 0.500
0.500 0.500 0.500
0.000 0.500 0.500
0.500 0.000 0.500
```

Output
The value obtained for the volume is 25.3 A^3/atom. The relative energy among the computed polymorphs is 692 meV per atom. The size of the total moment is 0.228 μB per atom. For the density of states at the Fermi level, the calculation gives 10.26 states/eV per cell.



The lowest size of the total moment belongs to which entry?
Tb4HoCd3



What did the second record say?
K2ZrRe after structural relaxation, computed with PBE.

```
K2ZrRe
1.0
5.619 0.000 0.000
0.000 12.598 0.000
0.000 0.000 2.856
K Zr Re
4 2 2
Direct
0.250 0.250 0.000
0.250 0.750 0.000
0.750 0.250 0.000
0.750 0.750 0.000
0.000 0.000 0.500
0.500 0.500 0.500
0.000 0.500 0.500
0.500 0.000 0.500
```

Output
The value obtained for the volume is 25.3 A^3/atom. The relative energy among the computed polymorphs is 692 meV per atom. The size of the total moment is 0.228 μB per atom. For the density of states at the Fermi level, the calculation gives 10.26 states/eV per cell.